Material: Cr2SnICl
Method: DFT, PBE-GGA
State: relaxed

a = 5.4233 Å, b = 5.4233 Å, c = 5.7643 Å
α = 90.00°, β = 90.00°, γ = 90.00°
Space group P4/mmm (No. 123)
One atom of each set of equivalent atoms:
1 Cr 0.0000 0.5000 0.0000 [2 per cell]
2 Sn 0.0000 0.0000 0.0000 [1 per cell]
3 I 0.0000 0.0000 0.5000 [1 per cell]
4 Cl 0.5000 0.5000 0.5000 [1 per cell]

Calculated volume in Å³/cell: 170
Raw total energy in eV per atom: -4.5347